First-principles (PBE with a Hubbard U) data for crystalline K2TbFeO4 at its relaxed geometry, as listed in Alexandria.

POSCAR file:
```
K2TbFeO4
1.0
-0.4371 6.5115 2.2430
-5.6092 -1.6016 3.6870
5.9832 -3.6833 0.7361
Fe O K Tb
2 8 4 2
direct
0.5000 0.5000 0.5000 Fe
0.0000 0.0000 0.0000 Fe
0.7532 0.3112 0.5323 O
0.2367 0.2634 0.0518 O
0.7634 0.7367 0.5518 O
0.1888 0.7468 0.9677 O
0.7633 0.7366 0.9482 O
0.2468 0.6888 0.4677 O
0.2366 0.2633 0.4482 O
0.8112 0.2532 0.0323 O
0.5000 0.0000 0.5000 K
0.5000 0.0000 0.0000 K
0.5000 0.5000 0.0000 K
0.0000 0.0000 0.5000 K
0.0000 0.5000 0.5000 Tb
0.0000 0.5000 0.0000 Tb
```

Computed properties:
theoretical density = 5089 kg/m³
VASP energy = -6.008 eV/atom